The following is a PBE calculation of MgSc2TlC after structural relaxation, from Alexandria via LeMat-Bulk.

a b c (Å): 4.561 4.561 4.474
angles (deg): 90.00 90.00 90.00
Fractional positions:
Mg 0.000 0.000 0.000
Sc 0.000 0.500 0.500
Sc 0.500 0.000 0.500
Tl 0.500 0.500 0.000
C 0.000 0.000 0.500

Output
Energy of formation = -359 meV per atom
Symmetry = P4/mmm

=====

The following is a PBE calculation of TmMgSc2C after structural relaxation, from Alexandria via LeMat-Bulk.

a b c (Å): 4.594 4.594 4.948
angles (deg): 90.00 90.00 90.00
Fractional positions:
Tm 0.000 0.000 0.000
Mg 0.500 0.500 0.000
Sc 0.000 0.500 0.500
Sc 0.500 0.000 0.500
C 0.000 0.000 0.500

Output
Energy of formation = -288 meV per atom
Symmetry = P4/mmm

=====

The following is a PBE calculation of YMgSc2C after structural relaxation, from Alexandria via LeMat-Bulk.

a b c (Å): 4.602 4.602 5.036
angles (deg): 90.00 90.00 90.00
Fractional positions:
Y 0.000 0.000 0.000
Mg 0.500 0.500 0.000
Sc 0.000 0.500 0.500
Sc 0.500 0.000 0.500
C 0.000 0.000 0.500

Output
Energy of formation = -281 meV per atom
Symmetry = P4/mmm

=====

The following is a PBE calculation of MgZrSc2C after structural relaxation, from Alexandria via LeMat-Bulk.

a b c (Å): 4.585 4.585 4.644
angles (deg): 90.00 90.00 90.00
Fractional positions:
Mg 0.000 0.000 0.000
Zr 0.500 0.500 0.000
Sc 0.000 0.500 0.500
Sc 0.500 0.000 0.500
C 0.500 0.500 0.500

Output
Energy of formation = -320 meV per atom
Symmetry = P4/mmm

=====

The following is a PBE calculation of MgZr2ScC after structural relaxation, from Alexandria via LeMat-Bulk.

a b c (Å): 4.619 4.619 4.573
angles (deg): 90.00 90.00 90.00
Fractional positions:
Mg 0.000 0.000 0.000
Zr 0.000 0.500 0.500
Zr 0.500 0.000 0.500
Sc 0.500 0.500 0.000
C 0.500 0.500 0.500

Output
Energy of formation = -328 meV per atom
Symmetry = P4/mmm

=====

The following is a PBE calculation of Mg3CSe after structural relaxation, from Alexandria via LeMat-Bulk.

a b c (Å): 4.868 4.868 4.868
angles (deg): 90.00 90.00 90.00
Fractional positions:
Mg 0.000 0.000 0.500
Mg 0.000 0.500 0.000
Mg 0.500 0.000 0.000
C 0.500 0.500 0.500
Se 0.000 0.000 0.000

Output
Energy relative to the elements, uncorrected = 1.12 eV per atom
Polymorph energy (0 for the lowest one) = 1496.1 meV/atom
Symmetry = Pm-3m